Here is a relaxed structure of CuTcTe2I from Alexandria. Energies are from PBE.

Output
The calculation puts the energy above the most stable polymorph in this dataset at 27.1 kJ per mole of atoms. Its calculated total energy is -17.2 eV per formula unit. The uncorrected formation energy comes out at 1.0266 eV/atom. Its crystal system is tetragonal.

```
data_CuTcTe2I
_cell_length_a 5.199
_cell_length_b 5.199
_cell_length_c 5.298
_cell_angle_alpha 90.00
_cell_angle_beta 90.00
_cell_angle_gamma 90.00
_space_group_name_H-M_alt 'P 4/m m m'
_space_group_IT_number 123
_space_group_name_Hall '-P 4 2'
loop_
_atom_site_label
_atom_site_type_symbol
_atom_site_fract_x
_atom_site_fract_y
_atom_site_fract_z
Cu1 Cu 0.000 0.000 0.000
Tc1 Tc 0.500 0.500 0.500
Te1 Te 0.000 0.500 0.000
I1 I 0.000 0.000 0.500
```

=====

Here is a relaxed structure of Ni2C2Cl from Alexandria. Energies are from PBE.

Output
The calculation puts the energy above the most stable polymorph in this dataset at 0.0 kJ per mole of atoms. Its calculated total energy is -26.8 eV per formula unit. The uncorrected formation energy comes out at 1.0123 eV/atom. Its crystal system is tetragonal.

```
data_Ni2C2Cl
_cell_length_a 3.815
_cell_length_b 3.815
_cell_length_c 7.077
_cell_angle_alpha 90.00
_cell_angle_beta 90.00
_cell_angle_gamma 90.00
_space_group_name_H-M_alt 'I 4/m m m'
_space_group_IT_number 139
_space_group_name_Hall '-I 4 2'
loop_
_atom_site_label
_atom_site_type_symbol
_atom_site_fract_x
_atom_site_fract_y
_atom_site_fract_z
Ni1 Ni 0.000 0.500 0.250
C1 C 0.000 0.000 0.097
Cl1 Cl 0.000 0.000 0.500
```

=====

Here is a relaxed structure of BTe3Pt from Alexandria. Energies are from PBE.

Output
The calculation puts the energy above the most stable polymorph in this dataset at 0.0 kJ per mole of atoms. Its calculated total energy is -17.5 eV per formula unit. The uncorrected formation energy comes out at 0.9228 eV/atom. Its crystal system is cubic.

```
data_BTe3Pt
_cell_length_a 4.754
_cell_length_b 4.754
_cell_length_c 4.754
_cell_angle_alpha 90.00
_cell_angle_beta 90.00
_cell_angle_gamma 90.00
_space_group_name_H-M_alt 'P m -3 m'
_space_group_IT_number 221
_space_group_name_Hall '-P 4 2 3'
loop_
_atom_site_label
_atom_site_type_symbol
_atom_site_fract_x
_atom_site_fract_y
_atom_site_fract_z
B1 B 0.000 0.000 0.000
Te1 Te 0.000 0.000 0.500
Pt1 Pt 0.500 0.500 0.500
```

=====

Here is a relaxed structure of Sm12Pa3Ag5 from Alexandria. Energies are from PBE.

Output
Its calculated total energy is -86.7 eV per formula unit. Its crystal system is cubic. Its energy relative to the elements is 0.632 eV/atom.

```
data_Sm12Pa3Ag5
_cell_length_a 17.909
_cell_length_b 17.909
_cell_length_c 17.909
_cell_angle_alpha 90.00
_cell_angle_beta 90.00
_cell_angle_gamma 90.00
_space_group_name_H-M_alt 'I a -3 d'
_space_group_IT_number 230
_space_group_name_Hall '-I 4bd 2c 3'
loop_
_atom_site_label
_atom_site_type_symbol
_atom_site_fract_x
_atom_site_fract_y
_atom_site_fract_z
Sm1 Sm 0.022 0.074 0.649
Pa1 Pa 0.000 0.250 0.125
Ag1 Ag 0.000 0.000 0.000
Ag2 Ag 0.000 0.250 0.375
```

=====

Here is a relaxed structure of Sn2WCl2 from Alexandria. Energies are from PBE.

Output
Its calculated total energy is -21.5 eV per formula unit. The uncorrected formation energy comes out at 0.6336 eV/atom. Its crystal system is tetragonal.

```
data_Sn2WCl2
_cell_length_a 8.714
_cell_length_b 8.714
_cell_length_c 3.202
_cell_angle_alpha 90.00
_cell_angle_beta 90.00
_cell_angle_gamma 90.00
_space_group_name_H-M_alt 'P 4/m b m'
_space_group_IT_number 127
_space_group_name_Hall '-P 4 2ab'
loop_
_atom_site_label
_atom_site_type_symbol
_atom_site_fract_x
_atom_site_fract_y
_atom_site_fract_z
Sn1 Sn 0.217 0.283 0.000
W1 W 0.000 0.000 0.000
Cl1 Cl 0.114 0.614 0.500
```

=====

Here is a relaxed structure of Ta2IrPd from Alexandria. Energies are from PBE.

Output
Its calculated total energy is -39.6 eV per formula unit. Its crystal system is tetragonal. Its energy relative to the elements is -0.460 eV/atom.

```
data_Ta2IrPd
_cell_length_a 2.848
_cell_length_b 2.848
_cell_length_c 8.037
_cell_angle_alpha 90.00
_cell_angle_beta 90.00
_cell_angle_gamma 90.00
_space_group_name_H-M_alt 'P 4/m m m'
_space_group_IT_number 123
_space_group_name_Hall '-P 4 2'
loop_
_atom_site_label
_atom_site_type_symbol
_atom_site_fract_x
_atom_site_fract_y
_atom_site_fract_z
Ta1 Ta 0.000 0.000 0.241
Ir1 Ir 0.500 0.500 0.000
Pd1 Pd 0.500 0.500 0.500
```

=====

Here is a relaxed structure of LaPu5S6 from Alexandria. Energies are from PBE.

Output
Its calculated total energy is -123.2 eV per formula unit. The uncorrected formation energy comes out at -1.8205 eV/atom. Its crystal system is monoclinic.

```
data_LaPu5S6
_cell_length_a 6.926
_cell_length_b 11.992
_cell_length_c 6.927
_cell_angle_alpha 90.00
_cell_angle_beta 109.47
_cell_angle_gamma 90.00
_space_group_name_H-M_alt 'C 1 2/m 1'
_space_group_IT_number 12
loop_
_space_group_symop_operation_xyz
'x,y,z'
'-x,-y,-z'
'-x,y,-z'
'x,-y,z'
'x+1/2,y+1/2,z'
'-x+1/2,-y+1/2,-z'
'-x+1/2,y+1/2,-z'
'x+1/2,-y+1/2,z'
loop_
_atom_site_label
_atom_site_type_symbol
_atom_site_fract_x
_atom_site_fract_y
_atom_site_fract_z
La1 La 0.000 0.000 0.000
Pu1 Pu 0.000 0.164 0.500
Pu2 Pu 0.000 0.333 0.000
Pu3 Pu 0.000 0.500 0.500
S1 S 0.242 0.500 0.254
S2 S 0.243 0.329 0.743
```

=====

Here is a relaxed structure of K2PPtS4 from Alexandria. Energies are from PBE.

Output
Its calculated total energy is -34.5 eV per formula unit. The uncorrected formation energy comes out at -0.5392 eV/atom. Its crystal system is orthorhombic.

```
data_K2PPtS4
_cell_length_a 6.562
_cell_length_b 13.332
_cell_length_c 20.636
_cell_angle_alpha 90.00
_cell_angle_beta 90.00
_cell_angle_gamma 90.00
_space_group_name_H-M_alt 'F d d d'
_space_group_IT_number 70
loop_
_space_group_symop_operation_xyz
'x,y,z'
'-x,-y,-z'
'-x+1/4,-y+1/4,z'
'x+1/4,y+1/4,-z'
'x,-y+1/4,-z+1/4'
'-x,y+1/4,z+1/4'
'-x+1/4,y,-z+1/4'
'x+1/4,-y,z+1/4'
'x,y+1/2,z+1/2'
'-x,-y+1/2,-z+1/2'
'-x+1/4,-y+3/4,z+1/2'
'x+1/4,y+3/4,-z+1/2'
'x,-y+3/4,-z+3/4'
'-x,y+3/4,z+3/4'
'-x+1/4,y+1/2,-z+3/4'
'x+1/4,-y+1/2,z+3/4'
'x+1/2,y,z+1/2'
'-x+1/2,-y,-z+1/2'
'-x+3/4,-y+1/4,z+1/2'
'x+3/4,y+1/4,-z+1/2'
'x+1/2,-y+1/4,-z+3/4'
'-x+1/2,y+1/4,z+3/4'
'-x+3/4,y,-z+3/4'
'x+3/4,-y,z+3/4'
'x+1/2,y+1/2,z'
'-x+1/2,-y+1/2,-z'
'-x+3/4,-y+3/4,z'
'x+3/4,y+3/4,-z'
'x+1/2,-y+3/4,-z+1/4'
'-x+1/2,y+3/4,z+1/4'
'-x+3/4,y+1/2,-z+1/4'
'x+3/4,-y+1/2,z+1/4'
loop_
_atom_site_label
_atom_site_type_symbol
_atom_site_fract_x
_atom_site_fract_y
_atom_site_fract_z
K1 K 0.125 0.125 0.293
P1 P 0.125 0.125 0.625
Pt1 Pt 0.125 0.125 0.125
S1 S 0.092 0.276 0.837
```

=====

Here is a relaxed structure of PmTmZr from Alexandria. Energies are from PBE.

Output
The calculation puts the energy above the most stable polymorph in this dataset at 6.1 kJ per mole of atoms. Its calculated total energy is -17.4 eV per formula unit. Its crystal system is hexagonal. Its energy relative to the elements is 0.132 eV/atom.

```
data_PmTmZr
_cell_length_a 5.3876
_cell_length_b 5.3876
_cell_length_c 3.3760
_cell_angle_alpha 90.00
_cell_angle_beta 90.00
_cell_angle_gamma 120.00
_space_group_name_H-M_alt 'P -6 m 2'
_space_group_IT_number 187
_space_group_name_Hall 'P -6 2'
loop_
_atom_site_label
_atom_site_type_symbol
_atom_site_fract_x
_atom_site_fract_y
_atom_site_fract_z
Pm1 Pm 0.0000 0.0000 0.0000
Tm1 Tm 0.6667 0.3333 0.5000
Zr1 Zr 0.3333 0.6667 0.0000
```

=====

Here is a relaxed structure of Cr5W from Alexandria. Energies are from PBE.

Output
The calculation puts the energy above the most stable polymorph in this dataset at 32.2 kJ per mole of atoms. Its calculated total energy is -58.8 eV per formula unit. Its crystal system is hexagonal. Its energy relative to the elements is 0.373 eV/atom.

```
data_Cr5W
_cell_length_a 4.6666
_cell_length_b 4.6666
_cell_length_c 4.1315
_cell_angle_alpha 90.00
_cell_angle_beta 90.00
_cell_angle_gamma 120.00
_space_group_name_H-M_alt 'P 6/m m m'
_space_group_IT_number 191
_space_group_name_Hall '-P 6 2'
loop_
_atom_site_label
_atom_site_type_symbol
_atom_site_fract_x
_atom_site_fract_y
_atom_site_fract_z
Cr1 Cr 0.0000 0.5000 0.0000
Cr2 Cr 0.3333 0.6667 0.5000
W1 W 0.0000 0.0000 0.5000
```

=====

- Number 8 is which compound?
  K2PPtS4